(1)
# NdPuPdAu (PBE, relaxed)
data_NdPuPdAu
_cell_length_a 5.1373
_cell_length_b 5.1373
_cell_length_c 5.1373
_cell_angle_alpha 60.00
_cell_angle_beta 60.00
_cell_angle_gamma 60.00
_space_group_name_H-M_alt 'P 1'
_space_group_IT_number 1
_space_group_name_Hall 'P 1'
loop_
_atom_site_label
_atom_site_fract_x
_atom_site_fract_y
_atom_site_fract_z
Nd1 0.0000 0.0000 0.0000
Pu1 0.5000 0.5000 0.5000
Pd1 0.7500 0.7500 0.7500
Au1 0.2500 0.2500 0.2500
# Magnetization: 5.87 μB per formula unit
# Energy above the most stable polymorph in this dataset: 0.0456 eV/atom
# Total energy: -7.435 eV/atom


(2)
# NdPuPdAu (PBE, relaxed)
data_NdPuPdAu
_cell_length_a 4.6162
_cell_length_b 5.8558
_cell_length_c 5.8558
_cell_angle_alpha 38.98
_cell_angle_beta 90.00
_cell_angle_gamma 90.00
_space_group_name_H-M_alt 'P 1'
_space_group_IT_number 1
_space_group_name_Hall 'P 1'
loop_
_atom_site_label
_atom_site_fract_x
_atom_site_fract_y
_atom_site_fract_z
Nd1 0.0000 0.0000 0.0000
Pu1 0.5000 0.7206 0.7206
Pd1 0.0000 0.2715 0.2715
Au1 0.5000 0.4403 0.4403
# Magnetization: 5.79 μB per formula unit
# Energy above the most stable polymorph in this dataset: 0.0000 eV/atom
# Total energy: -7.480 eV/atom